First-principles (PBE) data for an optimized crystal structure of Tb4TlIr2, as listed in Alexandria.

Cell: 4.424 4.424 11.595 Å, 79.00 79.00 60.00°
Sites, in units of the cell vectors:
Tb  0.801  0.801  0.598
Tb  0.199  0.199  0.402
Tb  0.605  0.605  0.185
Tb  0.395  0.395  0.815
Tl  0.000  0.000  0.000
Ir  0.899  0.899  0.303
Ir  0.101  0.101  0.697

Output
**Raw total energy**: -6.093 eV/atom
**Relative energy among the computed polymorphs**: 0 meV/atom
**D(E_F)**: 0.732 states/eV per atom
**ΔE_f**: -578 meV per atom
**Magnetic moment**: 0.00 μB/cell

=====

First-principles (PBE) data for an optimized crystal structure of Tb6TlIr2, as listed in Alexandria.

Cell: 4.860 5.868 9.401 Å, 77.79 90.00 114.46°
Sites, in units of the cell vectors:
Tb  0.659  0.319  0.616
Tb  0.969  0.938  0.848
Tb  0.031  0.062  0.152
Tb  0.282  0.564  0.838
Tb  0.341  0.681  0.384
Tb  0.718  0.436  0.162
Tl  0.000  0.000  0.500
Ir  0.624  0.249  0.907
Ir  0.376  0.751  0.093

Output
**Raw total energy**: -5.775 eV/atom
**Relative energy among the computed polymorphs**: 110 meV/atom
**D(E_F)**: 0.848 states/eV per atom
**ΔE_f**: -456 meV per atom
**Magnetic moment**: 0.00 μB/cell

=====

First-principles (PBE) data for an optimized crystal structure of Tb6Tl2Ir, as listed in Alexandria.

Cell: 3.876 8.733 8.661 Å, 120.28 90.00 90.00°
Sites, in units of the cell vectors:
Tb  0.000  0.246  0.000
Tb  0.000  0.996  0.236
Tb  0.500  0.998  0.609
Tb  0.500  0.602  0.000
Tb  0.500  0.389  0.391
Tb  0.000  0.760  0.764
Tl  0.000  0.331  0.664
Tl  0.000  0.667  0.336
Ir  0.500  0.011  0.000

Output
**Raw total energy**: -5.015 eV/atom
**Relative energy among the computed polymorphs**: 0 meV/atom
**D(E_F)**: 1.178 states/eV per atom
**ΔE_f**: -418 meV per atom
**Magnetic moment**: 0.00 μB/cell